An optimized crystal structure of NaMgRh4. Source: Alexandria via LeMat-Bulk, functional PBE.

```
6
Lattice="0.000 3.688 3.688 3.688 0.000 3.688 3.688 3.688 0.000" Properties=species:S:1:pos:R:3 pbc="T T T"
Na 0.000 0.000 0.000
Mg 5.533 5.533 5.533
Rh 2.767 2.767 2.767
Rh 4.610 4.610 2.767
Rh 4.610 2.767 4.610
Rh 2.767 4.610 4.610
```

Computed properties:
For the formation energy, the calculation gives -0.002 eV per atom.



An optimized crystal structure of NaMgRh2. Source: Alexandria via LeMat-Bulk, functional PBE.

```
8
Lattice="-3.655 3.655 2.665 3.655 -3.655 2.665 3.655 3.655 -2.665" Properties=species:S:1:pos:R:3 pbc="T T T"
Na 0.000 0.000 0.000
Na 0.000 3.655 1.333
Mg 3.655 0.000 1.333
Mg 0.000 0.000 2.665
Rh 1.827 -1.697 1.999
Rh 1.958 1.827 0.666
Rh 1.827 5.351 -0.666
Rh 1.697 1.827 3.332
```

Computed properties:
For the formation energy, the calculation gives 0.410 eV per atom.



An optimized crystal structure of Na2MgRh2. Source: Alexandria via LeMat-Bulk, functional PBE.

```
10
Lattice="6.556 0.000 0.000 0.000 6.556 0.000 0.000 0.000 4.830" Properties=species:S:1:pos:R:3 pbc="T T T"
Na 1.100 2.178 0.000
Na 2.178 5.457 0.000
Na 4.378 1.100 0.000
Na 5.457 4.378 0.000
Mg 0.000 0.000 2.415
Mg 3.278 3.278 2.415
Rh 0.874 4.152 2.415
Rh 2.404 0.874 2.415
Rh 4.152 5.682 2.415
Rh 5.682 2.404 2.415
```

Computed properties:
For the formation energy, the calculation gives 0.245 eV per atom.



An optimized crystal structure of NaMg2Rh. Source: Alexandria via LeMat-Bulk, functional PBE.

```
4
Lattice="3.191 0.000 0.000 0.000 3.191 0.000 0.000 0.000 8.335" Properties=species:S:1:pos:R:3 pbc="T T T"
Na 0.000 0.000 0.000
Mg 1.596 1.596 2.705
Mg 1.596 1.596 5.631
Rh 0.000 0.000 4.168
```

Computed properties:
For the formation energy, the calculation gives -0.255 eV per atom.



An optimized crystal structure of NaMg2Rh2. Source: Alexandria via LeMat-Bulk, functional PBE.

```
5
Lattice="-2.341 2.341 4.712 2.341 -2.341 4.712 2.341 2.341 -4.712" Properties=species:S:1:pos:R:3 pbc="T T T"
Na 0.000 0.000 0.000
Mg 2.341 0.000 2.356
Mg 0.000 2.341 2.356
Rh 0.000 0.000 3.487
Rh 0.000 0.000 5.937
```

Computed properties:
For the formation energy, the calculation gives 0.051 eV per atom. The relative energy among the computed polymorphs is 23.0 kJ/mol of atoms.



An optimized crystal structure of NaMg2SbRh. Source: Alexandria via LeMat-Bulk, functional PBE.

```
5
Lattice="5.049 0.000 0.000 0.000 5.049 0.000 0.000 0.000 5.037" Properties=species:S:1:pos:R:3 pbc="T T T"
Na 0.000 0.000 0.000
Mg 0.000 2.524 2.519
Mg 2.524 0.000 2.519
Sb 2.524 2.524 0.000
Rh 2.524 2.524 2.519
```

Computed properties:
The calculation puts the final energy at -17.142 eV per cell.